(1)
Here is a relaxed structure of KCSeBr2 from the Alexandria database. Energies are from PBEsol.

Structure (extended XYZ):
```
5
Lattice="4.048 0.000 0.000 0.000 5.380 0.000 0.000 0.000 5.380" Properties=species:S:1:pos:R:3 pbc="T T T"
K 2.024 2.690 2.690
Br 0.000 2.690 0.000
Se 2.024 0.000 0.000
Br 0.000 0.000 2.690
C 0.000 0.000 0.000
```

Its total energy is -3.38 eV per atom. The value obtained for the density of states at the Fermi level is 2.887 states/eV/f.u.

=====

(2)
Here is a relaxed structure of BeFe2Se from the Alexandria database. Energies are from PBEsol.

Structure (extended XYZ):
```
4
Lattice="-3.190 -0.514 0.201 0.029 -1.464 -3.273 0.670 -3.535 1.587" Properties=species:S:1:pos:R:3 pbc="T T T"
Be 0.349 -2.499 -0.843
Fe 0.000 0.000 0.000
Se -1.580 -0.989 -1.536
Fe -1.260 -2.024 0.894
```

Its total energy is -6.24 eV per atom. The value obtained for the density of states at the Fermi level is 2.951 states/eV/f.u.

=====

(3)
Here is a relaxed structure of MgTlCu2 from the Alexandria database. Energies are from PBEsol.

Structure (extended XYZ):
```
4
Lattice="3.980 0.000 0.000 0.000 3.980 0.000 -1.990 -1.990 4.037" Properties=species:S:1:pos:R:3 pbc="T T T"
Cu 0.000 0.000 0.000
Tl 0.000 1.990 2.018
Cu 1.990 0.000 2.018
Mg 1.990 1.990 0.000
```

The formation enthalpy at 0 K is 45 kJ/mol of formula units. The value obtained for the density of states at the Fermi level is 1.470 states/eV/f.u.

=====

(4)
Here is a relaxed structure of SbPb2Cl from the Alexandria database. Energies are from PBEsol.

Structure (extended XYZ):
```
4
Lattice="4.503 0.000 0.000 2.251 3.900 0.000 2.251 1.300 6.908" Properties=species:S:1:pos:R:3 pbc="T T T"
Pb 6.754 3.900 5.125
Pb 2.251 1.300 1.783
Cl 0.000 0.000 0.000
Sb 4.503 2.600 3.454
```

Its total energy is -4.03 eV per atom. The value obtained for the density of states at the Fermi level is 0.032 states/eV/f.u.